# 1
DFT (GGA-PBE) results for crystalline Ta2Mn2Mo at its relaxed geometry.

```
10
Lattice="6.8327 0.0000 0.0000 0.0000 6.8327 0.0000 0.0000 0.0000 3.2420" Properties=species:S:1:pos:R:3 pbc="T T T"
Mo 0.0000 0.0000 0.0000
Mo 3.4163 3.4163 0.0000
Mn 2.6914 6.1077 0.0000
Mn 6.1077 4.1413 0.0000
Mn 4.1413 0.7250 0.0000
Mn 0.7250 2.6914 0.0000
Ta 1.3379 4.7542 1.6210
Ta 4.7542 5.4948 1.6210
Ta 5.4948 2.0785 1.6210
Ta 2.0785 1.3379 1.6210
```

Calculated values
For the electronic total energy, the calculation gives -10.41 eV per atom. The space-group type is No. 127. The calculation puts the formation energy at 0.81 eV per formula unit. The calculation puts the calculated density at 12.5 g/cm3. The value obtained for the spin magnetization is 0.00 μB per formula unit.


# 2
DFT (GGA-PBE) results for crystalline Rb3PrTh2Te6 at its relaxed geometry.

```
12
Lattice="-4.7352 -0.8990 -6.2514 5.3432 -5.5457 1.7335 -6.0652 -1.9286 6.5331" Properties=species:S:1:pos:R:3 pbc="T T T"
Rb 0.6479 -5.7434 3.6827
Rb -6.1051 -2.6299 -1.6675
Rb -2.7286 -4.1867 1.0076
Pr 0.0000 0.0000 0.0000
Th 1.9849 -3.9974 -0.9272
Th -1.3769 -2.4474 -3.5907
Te -6.0413 -5.6353 0.3725
Te -0.8258 -5.1107 -1.9318
Te 0.5841 -2.7381 1.6427
Te -2.6201 -7.2126 3.0830
Te -4.6314 -3.2627 3.9469
Te -2.8371 -1.1607 -1.0679
```

Calculated values
For the electronic total energy, the calculation gives -4.69 eV per atom. As for the formation energy without anion corrections: -1.246 eV/atom. The space-group type is No. 12. The calculation puts the calculated density at 5.7 g/cm3. The value obtained for the spin magnetization is 0.00 μB per formula unit.


# 3
DFT (GGA-PBE) results for crystalline YNbAs2Se at its relaxed geometry.

```
5
Lattice="-2.0697 -2.4434 -4.1920 -2.1056 -3.6537 3.1692 -4.3436 2.8981 0.4553" Properties=species:S:1:pos:R:3 pbc="T T T"
Y 0.0000 0.0000 0.0000
Nb -4.2594 -1.5995 -0.2838
As -1.0528 -1.8269 1.5846
As -1.0349 -1.2217 -2.0960
Se -2.1718 1.4491 0.2277
```

Calculated values
For the electronic total energy, the calculation gives -5.04 eV per atom. As for the formation energy without anion corrections: 0.824 eV/atom. The space-group type is No. 123. The calculation puts the calculated density at 4.7 g/cm3. The value obtained for the spin magnetization is 0.12 μB per formula unit.


# 4
DFT (GGA-PBE) results for crystalline RbYMn3 at its relaxed geometry.

```
5
Lattice="5.1708 0.0000 0.0000 0.0000 5.1708 0.0000 0.0000 0.0000 5.1708" Properties=species:S:1:pos:R:3 pbc="T T T"
Y 2.5854 2.5854 2.5854
Mn 0.0000 2.5854 0.0000
Mn 0.0000 0.0000 2.5854
Mn 2.5854 0.0000 0.0000
Rb 0.0000 0.0000 0.0000
```

Calculated values
For the electronic total energy, the calculation gives -5.14 eV per atom. The space-group type is No. 221. The calculation puts the formation energy at 9.23 eV per formula unit. The calculation puts the calculated density at 4.1 g/cm3. The value obtained for the spin magnetization is 12.31 μB per formula unit.


# 5
DFT (GGA-PBE) results for crystalline Sb4BrCl at its relaxed geometry.

```
6
Lattice="-2.7080 -4.0083 -3.9206 -4.5307 1.9444 -3.8029 1.0494 0.4423 -6.1215" Properties=species:S:1:pos:R:3 pbc="T T T"
Sb -3.6965 -2.6791 -7.1607
Sb -1.7481 -0.3712 -8.3020
Sb -4.6417 0.4077 -7.0997
Sb -2.2923 -0.6006 -5.1276
Br -4.6420 -1.2162 -10.3837
Cl 0.0000 0.0000 0.0000
```

Calculated values
For the electronic total energy, the calculation gives -3.21 eV per atom. As for the formation energy without anion corrections: 0.120 eV/atom. The space-group type is No. 216. The calculation puts the calculated density at 5.9 g/cm3. The value obtained for the spin magnetization is 0.00 μB per formula unit.


# 6
DFT (GGA-PBE) results for crystalline Ga2TcRhAu at its relaxed geometry.

```
5
Lattice="4.5891 0.0000 0.0000 0.0000 5.1919 0.0000 0.0000 0.0000 4.5891" Properties=species:S:1:pos:R:3 pbc="T T T"
Rh 0.0000 0.0000 0.0000
Au 0.0000 2.5960 0.0000
Tc 2.2945 2.5960 2.2945
Ga 0.0000 0.0000 2.2945
Ga 2.2945 0.0000 0.0000
```

Calculated values
For the electronic total energy, the calculation gives -4.65 eV per atom. The space-group type is No. 123. The calculation puts the formation energy at 3.79 eV per formula unit. The calculation puts the calculated density at 8.2 g/cm3. The value obtained for the spin magnetization is 3.75 μB per formula unit.